Entry from the Alexandria database: crystalline YbAl4Mo2 at its relaxed geometry (GGA-PBE).

Calculated values
calculated volume = 121.6 Å³ per cell
symmetry = I4/mmm
energy of formation from the pure elements = -0.3277 eV per atom

a b c (Å): 5.467 5.467 5.467
angles (deg): 103.82 103.82 121.49
Positions (direct):
Yb 0.000 0.000 0.000
Al 0.304 0.304 0.609
Al 0.304 0.696 0.000
Al 0.696 0.304 0.000
Al 0.696 0.696 0.391
Mo 0.250 0.750 0.500
Mo 0.750 0.250 0.500

=====

Entry from the Alexandria database: crystalline Mg2PtBr at its relaxed geometry (GGA-PBE).

Calculated values
calculated volume = 91.1 Å³ per cell
symmetry = C2/m
formation energy without anion corrections = -0.687 eV per atom
ΔE to the lowest computed polymorph = 120 meV/atom

a b c (Å): 4.033 4.033 7.023
angles (deg): 108.64 108.64 59.02
Positions (direct):
Mg 0.239 0.239 0.189
Mg 0.761 0.761 0.811
Pt 0.500 0.500 0.000
Br 0.000 0.000 0.500

=====

Entry from the Alexandria database: crystalline Pr4RhS2Cl at its relaxed geometry (GGA-PBE).

Calculated values
calculated volume = 202.7 Å³ per cell
symmetry = P2/m
formation energy without anion corrections = -1.517 eV per atom

a b c (Å): 7.233 4.042 7.314
angles (deg): 90.00 108.59 90.00
Positions (direct):
Pr 0.235 0.000 0.234
Pr 0.237 0.500 0.748
Pr 0.763 0.500 0.252
Pr 0.765 0.000 0.766
Rh 0.000 0.000 0.500
S 0.000 0.500 0.000
S 0.500 0.000 0.000
Cl 0.500 0.500 0.500

=====

Entry from the Alexandria database: crystalline Sn4HgSe5 at its relaxed geometry (GGA-PBE).

Calculated values
calculated volume = 271.7 Å³ per cell
symmetry = C2/m
formation energy without anion corrections = -0.355 eV per atom

a b c (Å): 7.325 7.325 10.315
angles (deg): 116.38 116.38 33.66
Positions (direct):
Sn 0.102 0.102 0.401
Sn 0.300 0.300 0.197
Sn 0.700 0.700 0.803
Sn 0.898 0.898 0.599
Hg 0.500 0.500 0.000
Se 0.097 0.097 0.911
Se 0.289 0.289 0.692
Se 0.500 0.500 0.500
Se 0.711 0.711 0.308
Se 0.903 0.903 0.089

=====

Entry from the Alexandria database: crystalline HoTlSn at its relaxed geometry (GGA-PBE).

Calculated values
calculated volume = 93.5 Å³ per cell
symmetry = I4mm
energy of formation from the pure elements = -0.0586 eV per atom
ΔE to the lowest computed polymorph = 355 meV/atom

a b c (Å): 8.528 8.528 8.528
angles (deg): 157.14 157.14 32.55
Positions (direct):
Ho 0.000 0.000 0.000
Tl 0.188 0.188 0.000
Sn 0.370 0.370 0.000

=====

Entry from the Alexandria database: crystalline TcHg4Ir at its relaxed geometry (GGA-PBE).

Calculated values
calculated volume = 123.2 Å³ per cell
symmetry = F-43m
energy of formation from the pure elements = 1.0355 eV per atom

a b c (Å): 5.585 5.585 5.585
angles (deg): 60.00 60.00 60.00
Positions (direct):
Tc 0.000 0.000 0.000
Hg 0.125 0.625 0.625
Hg 0.625 0.125 0.625
Hg 0.625 0.625 0.125
Hg 0.625 0.625 0.625
Ir 0.250 0.250 0.250

=====

Entry from the Alexandria database: crystalline CeTm4Tl5 at its relaxed geometry (GGA-PBE).

Calculated values
calculated volume = 270.8 Å³ per cell
symmetry = P4/mmm
energy of formation from the pure elements = -0.2814 eV per atom

a b c (Å): 3.709 3.709 19.689
angles (deg): 90.00 90.00 90.00
Positions (direct):
Ce 0.000 0.000 0.000
Tm 0.000 0.000 0.207
Tm 0.000 0.000 0.403
Tm 0.000 0.000 0.597
Tm 0.000 0.000 0.793
Tl 0.500 0.500 0.109
Tl 0.500 0.500 0.305
Tl 0.500 0.500 0.500
Tl 0.500 0.500 0.695
Tl 0.500 0.500 0.891

=====

Entry from the Alexandria database: crystalline Mg3Pd13 at its relaxed geometry (GGA-PBE).

Calculated values
calculated volume = 249.2 Å³ per cell
symmetry = Amm2
energy of formation from the pure elements = -0.3489 eV per atom

a b c (Å): 8.029 5.572 5.572
angles (deg): 88.85 90.00 90.00
Positions (direct):
Mg 0.000 0.000 0.000
Mg 0.260 0.283 0.283
Mg 0.740 0.283 0.283
Pd 0.000 0.031 0.503
Pd 0.000 0.503 0.031
Pd 0.000 0.527 0.527
Pd 0.248 0.269 0.779
Pd 0.248 0.770 0.770
Pd 0.248 0.779 0.269
Pd 0.500 0.022 0.022
Pd 0.500 0.023 0.523
Pd 0.500 0.523 0.023
Pd 0.500 0.525 0.525
Pd 0.752 0.269 0.779
Pd 0.752 0.770 0.770
Pd 0.752 0.779 0.269

=====

Entry from the Alexandria database: crystalline NaLiCuSb at its relaxed geometry (GGA-PBE).

Calculated values
calculated volume = 72.7 Å³ per cell
symmetry = F-43m
formation energy without anion corrections = -0.284 eV per atom

a b c (Å): 4.685 4.685 4.685
angles (deg): 60.00 60.00 60.00
Positions (direct):
Na 0.000 0.000 0.000
Li 0.750 0.750 0.750
Cu 0.250 0.250 0.250
Sb 0.500 0.500 0.500

=====

Entry from the Alexandria database: crystalline MnTl2Hg at its relaxed geometry (GGA-PBE).

Calculated values
calculated volume = 98.8 Å³ per cell
symmetry = C2/m
energy of formation from the pure elements = 0.3483 eV per atom
ΔE to the lowest computed polymorph = 85 meV/atom

a b c (Å): 5.369 5.369 3.497
angles (deg): 90.14 90.14 101.44
Positions (direct):
Mn 0.000 0.000 0.000
Tl 0.000 0.500 0.500
Tl 0.500 0.000 0.500
Hg 0.500 0.500 0.000

=====

Entry from the Alexandria database: crystalline La2Ge4Pd3Rh at its relaxed geometry (GGA-PBE).

Calculated values
calculated volume = 195.7 Å³ per cell
symmetry = P-4m2
energy of formation from the pure elements = -0.8579 eV per atom

a b c (Å): 4.362 4.362 10.287
angles (deg): 90.00 90.00 90.00
Positions (direct):
La 0.000 0.500 0.246
La 0.500 0.000 0.754
Ge 0.000 0.000 0.000
Ge 0.000 0.500 0.626
Ge 0.500 0.000 0.374
Ge 0.500 0.500 0.000
Pd 0.000 0.500 0.869
Pd 0.500 0.000 0.131
Pd 0.500 0.500 0.500
Rh 0.000 0.000 0.500

=====

Entry from the Alexandria database: crystalline LaSiGe3 at its relaxed geometry (GGA-PBE).

Calculated values
calculated volume = 175.2 Å³ per cell
symmetry = Pm-3m
formation energy without anion corrections = 1.271 eV per atom
ΔE to the lowest computed polymorph = 1233 meV/atom

a b c (Å): 5.596 5.596 5.596
angles (deg): 90.00 90.00 90.00
Positions (direct):
La 0.000 0.000 0.000
Si 0.500 0.500 0.500
Ge 0.000 0.000 0.500
Ge 0.000 0.500 0.000
Ge 0.500 0.000 0.000

=====

Question: Which of these has the lowest calculated volume?
Answer: NaLiCuSb

=====

Question: Which of these has the lowest calculated volume?
Answer: NaLiCuSb